{
  "formula": "Pm2CrSbO6",
  "functional": "PBE+U",
  "state": "optimized geometry",
  "dft_energy_ev_per_atom": -7.33,
  "crystal_system": "tetragonal",
  "magmom_total_mub_per_fu": 3.000,
  "volume_a3_per_atom": 15.4,
  "spacegroup": "P4mm (99)",
  "cell": [[5.111, 0.000, 0.000], [0.000, 5.489, 0.000], [0.000, 0.000, 5.489]],
  "species": ["O", "Cr", "O", "Pm", "O", "O", "Pm", "Sb", "O", "O"],
  "frac_coords": [[0.736, 0.763, 0.763], [0.605, 0.000, 0.000], [0.042, 0.500, 0.500], [0.006, 0.500, 0.000], [0.224, 0.000, 0.000], [0.736, 0.763, 0.237], [0.006, 0.000, 0.500], [0.622, 0.500, 0.500], [0.736, 0.237, 0.763], [0.736, 0.237, 0.237]]
}